Entry from the Alexandria database: a relaxed CuGeTe2 crystal (PBE).

Symmetry: P3m1 (156)
Formation energy from raw total energies in eV per atom: 0.022
Total DFT energy (no corrections) in eV per atom: -3.727
V in Å³ per atom: 29.765

abc: 4.451 4.451 6.939
angles: 90.00 90.00 120.00
Atoms (fractional coordinates):
Cu (0.000, 0.000, 0.000)
Ge (0.667, 0.333, 0.540)
Te (0.000, 0.000, 0.381)
Te (0.667, 0.333, 0.928)


Entry from the Alexandria database: a relaxed Cr2CuTc crystal (PBE).

Symmetry: Pmmm (47)
Total DFT energy (no corrections) in eV per atom: -8.138
V in Å³ per atom: 12.664
ΔH_f (0 K) in kJ/mol of atoms: 27.9

abc: 2.632 3.733 5.155
angles: 90.00 90.00 90.00
Atoms (fractional coordinates):
Cr (0.000, 0.000, 0.247)
Cr (0.000, 0.000, 0.753)
Cu (0.500, 0.500, 0.500)
Tc (0.500, 0.500, 0.000)